# AlV14W

A relaxed AlV14W crystal (PBE, Alexandria).

Lattice parameters (Å, degrees): 6.035 8.646 8.433 90.00 90.00 90.00
Space group Cmmm (No. 65)
Unique sites:
Al1 0.000 0.000 0.000 x2
V1 0.000 0.000 0.500 x2
V2 0.000 0.246 0.252 x8
V3 0.000 0.500 0.500 x2
V4 0.243 0.500 0.259 x8
V5 0.250 0.250 0.000 x4
V6 0.250 0.250 0.500 x4
W1 0.000 0.500 0.000 x2

As for the formation enthalpy at 0 K: -0.045 eV per atom.